Computed, not measured: a relaxed TmAgAs crystal at the PBE-GGA level of DFT.

abc: 4.601 4.601 4.601
angles: 60.00 60.00 60.00
Fractional positions:
Ag  0.000  0.000  0.000
Tm  0.750  0.750  0.750
As  0.250  0.250  0.250

Results
The total energy is -4.364 eV/atom.


Computed, not measured: a relaxed UAgAs crystal at the PBE-GGA level of DFT.

abc: 4.680 4.680 4.680
angles: 60.00 60.00 60.00
Fractional positions:
U  0.750  0.750  0.750
As  0.000  0.000  0.000
Ag  0.250  0.250  0.250

Results
The total energy is -6.194 eV/atom.


Computed, not measured: a relaxed UAgAs crystal at the PBE-GGA level of DFT.

abc: 4.771 4.771 4.771
angles: 60.00 60.00 60.00
Fractional positions:
U  0.000  0.000  0.000
Ag  0.250  0.250  0.250
As  0.750  0.750  0.750

Results
The total energy is -6.068 eV/atom.